# MnIr2Rh3 | Alexandria via LeMat-Bulk | PBE | optimized geometry
# **V**: 89 Å³/f.u.
# **M_tot**: 9.54 μB/cell
# **ΔH_f (0 K)**: 15 kJ/mol of atoms
# **Total DFT energy (no corrections)**: -7.997 eV per atom
# **Fermi-level density of states**: 8.95 states/eV/f.u.
data_MnIr2Rh3
_chemical_formula_sum 'Mn4 Ir8 Rh12'
_symmetry_space_group_name_H-M 'C m c m'
_symmetry_Int_Tables_number 63
_symmetry_space_group_name_Hall '-C 2c 2'
_cell_length_a 5.377
_cell_length_b 13.104
_cell_length_c 5.027
_cell_angle_alpha 90.00
_cell_angle_beta 90.00
_cell_angle_gamma 90.00
loop_
_atom_site_label
_atom_site_type_symbol
_atom_site_fract_x
_atom_site_fract_y
_atom_site_fract_z
_atom_site_occupancy
Mn1 Mn 0.000 0.150 0.250 1
Ir1 Ir 0.246 0.000 0.000 1
Rh1 Rh 0.000 0.351 0.750 1
Rh2 Rh 0.247 0.320 0.250 1